Record 1
A plane-wave DFT calculation with PBE was carried out for a relaxed Rb3Pu2ZnSe6 crystal.

Structure (extended XYZ):
```
12
Lattice="-1.666 -6.601 -2.660 5.119 0.666 5.174 -6.696 1.120 4.761" Properties=species:S:1:pos:R:3 pbc="T T T"
Rb 0.645 0.019 6.253
Rb -3.887 -4.834 1.021
Rb -1.621 -2.408 3.637
Pu 2.858 -1.756 2.563
Pu 0.595 -4.179 -0.049
Zn 0.000 0.000 0.000
Se -3.864 -4.870 4.529
Se 1.278 -4.160 2.751
Se 0.621 0.055 2.746
Se -1.651 -2.500 7.084
Se -4.521 -0.656 4.524
Se -1.591 -2.315 0.191
```

Computed properties:
- DFT total energy: -5.6481 eV/atom
- Raw formation energy: -14.03 eV per formula unit
- Total moment: 9.00 μB/f.u.


Record 2
A plane-wave DFT calculation with PBE was carried out for a relaxed CaNiP2Cl crystal.

Structure (extended XYZ):
```
5
Lattice="5.330 0.000 0.000 0.000 5.330 0.000 0.000 0.000 5.032" Properties=species:S:1:pos:R:3 pbc="T T T"
Ni 2.665 2.665 2.516
Ca 0.000 0.000 0.000
P 0.000 2.665 0.000
P 2.665 0.000 0.000
Cl 0.000 0.000 2.516
```

Computed properties:
- DFT total energy: -3.1402 eV/atom
- Raw formation energy: 4.75 eV per formula unit
- Total moment: 1.54 μB/f.u.
- E above lowest polymorph: 1396.2 meV per atom


Record 3
A plane-wave DFT calculation with PBE was carried out for a relaxed Rb3Sr5I12 crystal.

Structure (extended XYZ):
```
80
Lattice="17.940 0.000 0.000 -5.980 16.914 0.000 -5.980 -8.457 14.648" Properties=species:S:1:pos:R:3 pbc="T T T"
Rb 10.465 5.286 1.831
Rb 10.465 11.629 1.831
Rb -1.495 7.400 9.155
Rb 1.495 -1.057 5.493
Rb 13.455 0.000 3.662
Rb 1.495 8.457 3.662
Rb 4.485 0.000 10.986
Rb -7.475 8.457 10.986
Rb 4.485 9.514 9.155
Rb 7.475 1.057 5.493
Rb -4.485 -3.171 12.817
Rb -4.485 3.171 12.817
Sr -1.495 4.229 3.662
Sr -2.990 8.457 0.000
Sr 0.000 0.000 0.000
Sr 4.485 3.171 1.831
Sr 5.980 -4.229 7.324
Sr 5.980 8.457 0.000
Sr -4.485 9.514 5.493
Sr 7.475 -5.286 12.817
Sr 7.475 7.400 5.493
Sr 1.495 -4.229 10.986
Sr 4.485 12.686 3.662
Sr 2.990 4.229 7.324
Sr 8.970 0.000 0.000
Sr -2.990 -4.229 7.324
Sr -1.495 1.057 9.155
Sr -1.495 13.743 1.831
Sr -5.980 4.229 7.324
Sr 10.465 -1.057 9.155
Sr 1.495 5.286 12.817
Sr 7.475 4.229 10.986
I 11.763 1.779 0.491
I 0.197 5.544 6.029
I 13.329 3.921 4.284
I 7.602 2.479 1.787
I 2.243 6.267 9.873
I 12.779 8.482 2.549
I -1.369 9.899 6.071
I -4.611 14.436 1.787
I 0.747 10.647 9.873
I 8.151 8.433 2.549
I 9.167 4.693 5.537
I 9.167 15.135 0.491
I -5.234 7.455 7.816
I 3.809 6.238 1.253
I -6.177 12.222 5.537
I 3.187 -2.913 8.620
I -0.747 1.188 3.040
I 3.809 10.652 1.295
I 7.602 12.994 4.284
I -0.819 6.262 1.295
I -3.737 9.645 11.608
I 4.359 7.015 6.071
I 8.224 9.459 7.816
I 6.799 -2.219 13.395
I 1.621 1.442 8.577
I -2.243 -1.002 6.833
I -0.819 10.677 1.253
I -1.621 -4.537 10.364
I 9.717 -1.188 3.040
I 6.799 2.195 13.353
I 2.171 -2.195 13.353
I 2.793 11.371 6.029
I 6.727 7.269 11.608
I 12.157 -3.764 9.111
I 11.214 1.002 6.833
I -3.187 -6.678 14.157
I 2.171 2.219 13.395
I 5.234 -2.190 4.776
I -2.171 0.024 12.100
I -3.187 3.764 9.111
I 10.592 -5.978 12.862
I 7.349 -1.442 8.577
I -1.621 5.978 12.862
I -6.799 -0.024 12.100
I 3.737 2.190 4.776
I -7.349 4.537 10.364
I 5.783 2.913 8.620
I -5.783 6.678 14.157
```

Computed properties:
- DFT total energy: -3.0032 eV/atom
- Raw formation energy: -30.15 eV per formula unit
- Total moment: 0.00 μB/f.u.


Record 4
A plane-wave DFT calculation with PBE was carried out for a relaxed LiVAs crystal.

Structure (extended XYZ):
```
12
Lattice="6.166 0.000 0.000 0.000 3.483 0.000 0.000 0.000 7.668" Properties=species:S:1:pos:R:3 pbc="T T T"
As 1.457 0.871 4.939
As 1.627 2.613 1.105
As 4.710 2.613 2.729
As 4.540 0.871 6.563
V 3.429 0.871 1.211
V 5.820 2.613 5.045
V 2.737 2.613 6.457
V 0.346 0.871 2.623
Li 3.849 0.871 4.239
Li 5.400 2.613 0.405
Li 2.317 2.613 3.429
Li 0.766 0.871 7.264
```

Computed properties:
- DFT total energy: -5.6205 eV/atom
- Formation energy: -0.3932 eV per atom
- Total moment: 0.00 μB/f.u.
- E above lowest polymorph: 183.4 meV per atom


Record 5
A plane-wave DFT calculation with PBE was carried out for a relaxed MgNi4As crystal.

Structure (extended XYZ):
```
6
Lattice="-0.027 -3.177 3.592 -2.722 0.779 3.870 -3.884 -2.701 0.783" Properties=species:S:1:pos:R:3 pbc="T T T"
Mg 0.000 0.000 0.000
Ni -2.502 -3.500 4.887
Ni -4.429 -3.262 3.483
Ni -3.848 -1.523 5.026
Ni -2.488 -1.912 3.092
As -4.975 -3.824 6.183
```

Computed properties:
- DFT total energy: -4.9534 eV/atom
- Formation energy: -0.0584 eV per atom
- Total moment: 0.00 μB/f.u.
- E above lowest polymorph: 0.0 meV per atom


Record 6
A plane-wave DFT calculation with PBE was carried out for a relaxed SrTb4Te6 crystal.

Structure (extended XYZ):
```
22
Lattice="-1.565 3.347 -2.389 -5.855 -4.444 1.659 -3.626 11.877 19.018" Properties=species:S:1:pos:R:3 pbc="T T T"
Sr -3.801 3.761 3.708
Sr -7.245 7.019 14.580
Tb -7.504 6.062 9.358
Tb -5.890 -0.767 2.784
Tb -3.542 4.718 8.930
Tb -5.155 11.547 15.504
Tb -9.047 11.115 17.448
Tb -1.999 -0.335 0.840
Tb -4.259 8.610 10.802
Tb -6.787 2.170 7.486
Te -0.782 1.674 -1.194
Te -2.596 7.612 8.314
Te -1.867 3.767 6.502
Te -9.178 7.013 11.786
Te -9.828 9.140 15.192
Te -1.218 1.640 3.096
Te -5.835 5.075 6.880
Te -5.211 5.705 11.408
Te -6.382 9.541 17.550
Te -4.664 1.239 0.738
Te -5.264 1.150 5.060
Te -5.781 9.630 13.228
```

Computed properties:
- DFT total energy: -4.9945 eV/atom
- Raw formation energy: -15.89 eV per formula unit
- Total moment: 0.00 μB/f.u.